First-principles (meta-GGA SCAN) data for a crystal of ScZn4Ag relaxed with PBEsol, as listed in Alexandria via LeMat-Bulk.

a = 7.187 Å, b = 7.187 Å, c = 7.187 Å
α = 90.00°, β = 90.00°, γ = 90.00°
Space group F-43m (No. 216)
Symmetry-distinct sites (fractional):
Sc (0.000, 0.000, 0.000) x4
Zn (0.125, 0.125, 0.625) x16
Ag (0.250, 0.250, 0.250) x4

Values from the calculation:
DFT formation energy	-0.226	eV per atom
calculated volume	371.19	Å³/cell


First-principles (meta-GGA SCAN) data for a crystal of ScZn2Ag relaxed with PBEsol, as listed in Alexandria via LeMat-Bulk.

a = 4.055 Å, b = 4.055 Å, c = 4.074 Å
α = 90.00°, β = 90.00°, γ = 90.00°
Space group P4/mmm (No. 123)
Symmetry-distinct sites (fractional):
Sc (0.000, 0.000, 0.000) x1
Zn (0.000, 0.500, 0.500) x2
Ag (0.500, 0.500, 0.000) x1

Values from the calculation:
DFT formation energy	-0.212	eV per atom
calculated volume	67.00	Å³/cell
offset from the most stable computed form	0.112	eV per atom


First-principles (meta-GGA SCAN) data for a crystal of Zr2ScAg relaxed with PBEsol, as listed in Alexandria via LeMat-Bulk.

a = 3.027 Å, b = 5.270 Å, c = 5.187 Å
α = 90.00°, β = 96.23°, γ = 90.00°
Space group P2/m (No. 10)
Symmetry-distinct sites (fractional):
Zr (0.211, 0.000, 0.253) x2
Sc (0.500, 0.500, 0.000) x1
Ag (0.000, 0.500, 0.500) x1

Values from the calculation:
DFT formation energy	0.033	eV per atom
calculated volume	82.26	Å³/cell
offset from the most stable computed form	0.141	eV per atom


First-principles (meta-GGA SCAN) data for a crystal of Zr2ScAg relaxed with PBEsol, as listed in Alexandria via LeMat-Bulk.

a = 3.174 Å, b = 3.174 Å, c = 8.217 Å
α = 90.00°, β = 90.00°, γ = 90.00°
Space group P4mm (No. 99)
Symmetry-distinct sites (fractional):
Zr (0.000, 0.000, 0.000) x1
Zr (0.500, 0.500, 0.263) x1
Sc (0.500, 0.500, 0.733) x1
Ag (0.000, 0.000, 0.505) x1

Values from the calculation:
DFT formation energy	-0.108	eV per atom
calculated volume	82.81	Å³/cell
offset from the most stable computed form	0.000	eV per atom


First-principles (meta-GGA SCAN) data for a crystal of Zr2ScAg relaxed with PBEsol, as listed in Alexandria via LeMat-Bulk.

a = 10.698 Å, b = 3.140 Å, c = 5.405 Å
α = 90.00°, β = 114.20°, γ = 90.00°
Space group Cm (No. 8)
Symmetry-distinct sites (fractional):
Zr (0.000, 0.000, 0.000) x2
Zr (0.237, 0.000, 0.855) x2
Sc (0.277, 0.500, 0.381) x2
Ag (0.010, 0.500, 0.469) x2

Values from the calculation:
DFT formation energy	-0.068	eV per atom
calculated volume	165.60	Å³/cell
offset from the most stable computed form	0.040	eV per atom


First-principles (meta-GGA SCAN) data for a crystal of ZrScAg2 relaxed with PBEsol, as listed in Alexandria via LeMat-Bulk.

a = 3.430 Å, b = 3.430 Å, c = 6.525 Å
α = 90.00°, β = 90.00°, γ = 90.00°
Space group P4mm (No. 99)
Symmetry-distinct sites (fractional):
Zr (0.000, 0.000, 0.000) x1
Sc (0.500, 0.500, 0.708) x1
Ag (0.000, 0.000, 0.473) x1
Ag (0.500, 0.500, 0.244) x1

Values from the calculation:
DFT formation energy	-0.184	eV per atom
calculated volume	76.78	Å³/cell
offset from the most stable computed form	0.000	eV per atom


First-principles (meta-GGA SCAN) data for a crystal of ZrSc2Ag relaxed with PBEsol, as listed in Alexandria via LeMat-Bulk.

a = 4.209 Å, b = 4.209 Å, c = 9.264 Å
α = 90.00°, β = 90.00°, γ = 90.00°
Space group I-4m2 (No. 119)
Symmetry-distinct sites (fractional):
Zr (0.000, 0.000, 0.000) x2
Sc (0.000, 0.000, 0.500) x2
Sc (0.000, 0.500, 0.750) x2
Ag (0.000, 0.500, 0.250) x2

Values from the calculation:
DFT formation energy	0.009	eV per atom
calculated volume	164.11	Å³/cell
offset from the most stable computed form	0.171	eV per atom


First-principles (meta-GGA SCAN) data for a crystal of Zr2ScAg relaxed with PBEsol, as listed in Alexandria via LeMat-Bulk.

a = 3.108 Å, b = 3.108 Å, c = 8.574 Å
α = 90.00°, β = 90.00°, γ = 90.00°
Space group P4/mmm (No. 123)
Symmetry-distinct sites (fractional):
Zr (0.000, 0.000, 0.237) x2
Sc (0.500, 0.500, 0.500) x1
Ag (0.500, 0.500, 0.000) x1

Values from the calculation:
DFT formation energy	-0.009	eV per atom
calculated volume	82.83	Å³/cell
offset from the most stable computed form	0.099	eV per atom


First-principles (meta-GGA SCAN) data for a crystal of ZrScAg relaxed with PBEsol, as listed in Alexandria via LeMat-Bulk.

a = 3.164 Å, b = 3.164 Å, c = 12.156 Å
α = 90.00°, β = 90.00°, γ = 90.00°
Space group I4mm (No. 107)
Symmetry-distinct sites (fractional):
Zr (0.000, 0.000, 0.000) x2
Sc (0.000, 0.000, 0.677) x2
Ag (0.000, 0.000, 0.334) x2

Values from the calculation:
DFT formation energy	-0.142	eV per atom
calculated volume	121.70	Å³/cell


First-principles (meta-GGA SCAN) data for a crystal of Zr2ScAg relaxed with PBEsol, as listed in Alexandria via LeMat-Bulk.

a = 5.019 Å, b = 5.019 Å, c = 3.228 Å
α = 90.00°, β = 90.00°, γ = 90.00°
Space group P4/mmm (No. 123)
Symmetry-distinct sites (fractional):
Zr (0.000, 0.500, 0.000) x2
Sc (0.000, 0.000, 0.500) x1
Ag (0.500, 0.500, 0.500) x1

Values from the calculation:
DFT formation energy	0.097	eV per atom
calculated volume	81.32	Å³/cell
offset from the most stable computed form	0.205	eV per atom


First-principles (meta-GGA SCAN) data for a crystal of ZrSc2Ag relaxed with PBEsol, as listed in Alexandria via LeMat-Bulk.

a = 3.364 Å, b = 4.845 Å, c = 10.257 Å
α = 90.00°, β = 90.00°, γ = 90.00°
Space group Imm2 (No. 44)
Symmetry-distinct sites (fractional):
Zr (0.000, 0.000, 0.000) x2
Sc (0.000, 0.000, 0.543) x2
Sc (0.000, 0.500, 0.767) x2
Ag (0.000, 0.500, 0.266) x2

Values from the calculation:
DFT formation energy	-0.104	eV per atom
calculated volume	167.17	Å³/cell
offset from the most stable computed form	0.058	eV per atom


First-principles (meta-GGA SCAN) data for a crystal of ZrScAg2 relaxed with PBEsol, as listed in Alexandria via LeMat-Bulk.

a = 3.0373 Å, b = 3.0373 Å, c = 28.9466 Å
α = 90.00°, β = 90.00°, γ = 120.00°
Space group R-3m (No. 166, hexagonal axes)
Symmetry-distinct sites (fractional):
Zr (0.0000, 0.0000, 0.0000) x3
Sc (0.0000, 0.0000, 0.5000) x3
Ag (0.0000, 0.0000, 0.2480) x6

Values from the calculation:
DFT formation energy	0.052	eV per atom
calculated volume	231.26	Å³/cell
offset from the most stable computed form	0.236	eV per atom


> Number 10 is which compound?

Zr2ScAg